Entry 1:
# CdFeRh2

An optimized crystal structure of CdFeRh2 (PBE-GGA, Alexandria).

a = 8.8967 Å, b = 8.8967 Å, c = 8.8967 Å
α = 18.33°, β = 18.33°, γ = 18.33°
Positions (direct):
Cd 0.0000 0.0000 0.0000
Fe 0.5000 0.5000 0.5000
Rh 0.2424 0.2424 0.2424
Rh 0.7576 0.7576 0.7576

Computed properties:
Mass density (Mg/m³): 10.22
ΔH_f (0 K) (meV/atom): 15
DOS at the Fermi energy (states/eV/cell): 4.54

***

Entry 2:
# Cd2FeRh

An optimized crystal structure of Cd2FeRh (PBE-GGA, Alexandria).

a = 2.9284 Å, b = 4.3465 Å, c = 5.4551 Å
α = 90.00°, β = 101.85°, γ = 90.00°
Positions (direct):
Cd 0.0000 0.0000 0.0000
Cd 0.2746 0.5000 0.6852
Fe 0.6222 0.5000 0.2274
Rh 0.6690 0.0000 0.4593

Computed properties:
Mass density (Mg/m³): 9.37
ΔH_f (0 K) (meV/atom): 127
DOS at the Fermi energy (states/eV/cell): 2.69

***

Entry 3:
# Cd2FeRh

An optimized crystal structure of Cd2FeRh (PBE-GGA, Alexandria).

a = 3.0377 Å, b = 3.0377 Å, c = 7.4032 Å
α = 90.00°, β = 90.00°, γ = 90.00°
Positions (direct):
Cd 0.0000 0.0000 0.0000
Cd 0.5000 0.5000 0.3151
Fe 0.0000 0.0000 0.5609
Rh 0.5000 0.5000 0.7431

Computed properties:
Mass density (Mg/m³): 9.32
ΔH_f (0 K) (meV/atom): 25
DOS at the Fermi energy (states/eV/cell): 2.76

***

Entry 4:
# Cd2FeRh

An optimized crystal structure of Cd2FeRh (PBE-GGA, Alexandria).

a = 2.9682 Å, b = 3.9512 Å, c = 5.6771 Å
α = 90.00°, β = 90.00°, γ = 90.00°
Positions (direct):
Cd 0.0000 0.0000 0.2488
Cd 0.0000 0.0000 0.7512
Fe 0.5000 0.5000 0.5000
Rh 0.5000 0.5000 0.0000

Computed properties:
Mass density (Mg/m³): 9.57
ΔH_f (0 K) (meV/atom): 159
DOS at the Fermi energy (states/eV/cell): 3.06